12
Lattice="-3.891 -1.054 -3.062 0.899 -4.942 0.636 -4.280 -0.075 5.466" Properties=species:S:1:pos:R:3 comment="PmDy2WO8 | the Alexandria database | PBE with a Hubbard U | optimized geometry" e_tot_ev_per_cell=-94.7 magmom_total_mub_per_cell=0.89 pbc="T T T"
O -6.446 -4.420 3.709
O -0.870 -4.239 1.088
O -3.376 -4.283 4.288
Pm -2.140 -0.038 2.733
Dy -4.732 -3.055 2.919
O -6.403 -1.833 1.952
O -3.087 -1.927 1.966
O -4.186 -4.145 1.074
O -0.827 -1.652 -0.670
Dy -2.541 -3.016 0.120
O -3.896 -1.788 -1.249
W 0.000 0.000 0.000